! SCAN NaPbS2Cl, single point on PBEsol structure; values from VASP
&SYSTEM
  ibrav = 0, nat = 5, ntyp = 4
/
ATOMIC_SPECIES
Pb 207.20 Pb.upf
Na 22.99 Na.upf
S 32.06 S.upf
Cl 35.45 Cl.upf
CELL_PARAMETERS angstrom
4.8273 0.0000 0.0000
0.0000 4.8273 0.0000
0.0000 0.0000 5.0413
ATOMIC_POSITIONS angstrom
Pb 2.4137 2.4137 2.5206
Na 0.0000 0.0000 0.0000
S 0.0000 2.4137 0.0000
S 2.4137 0.0000 0.0000
Cl 0.0000 0.0000 2.5206
! E_form (uncorrected)   -0.370 eV per formula unit
! D(E_F)   0.863 states/eV per atom

***

! SCAN SrMg2Cu2, single point on PBEsol structure; values from VASP
&SYSTEM
  ibrav = 0, nat = 5, ntyp = 3
/
ATOMIC_SPECIES
Sr 87.62 Sr.upf
Mg 24.30 Mg.upf
Cu 63.55 Cu.upf
CELL_PARAMETERS angstrom
4.2666 0.0000 0.0000
0.0000 4.2666 0.0000
-2.1333 -2.1333 5.8493
ATOMIC_POSITIONS angstrom
Sr 0.0000 0.0000 0.0000
Mg 0.0000 2.1333 2.9247
Mg 2.1333 0.0000 2.9247
Cu 0.0000 0.0000 4.6292
Cu 2.1333 2.1333 1.2201
! Formation enthalpy at 0 K   -0.097 eV per atom
! D(E_F)   0.474 states/eV per atom

***

! SCAN Na3LaBe, single point on PBEsol structure; values from VASP
&SYSTEM
  ibrav = 0, nat = 5, ntyp = 3
/
ATOMIC_SPECIES
Na 22.99 Na.upf
Be 9.01 Be.upf
La 138.91 La.upf
CELL_PARAMETERS angstrom
-3.3908 -2.6497 -3.0554
3.4639 -3.9609 -0.4092
-2.0876 -2.2682 4.2838
ATOMIC_POSITIONS angstrom
Na 1.7319 -1.9804 -0.2046
Na -1.0438 -1.1341 2.1419
Na -1.6954 -1.3249 -1.5277
Be 0.0000 0.0000 0.0000
La -1.0073 -4.4394 0.4097
! Formation enthalpy at 0 K   0.662 eV per atom
! D(E_F)   0.818 states/eV per atom

***

> Which formula does entry 2 have?

SrMg2Cu2

***

Copy entry 3 word for word.
! SCAN Na3LaBe, single point on PBEsol structure; values from VASP
&SYSTEM
  ibrav = 0, nat = 5, ntyp = 3
/
ATOMIC_SPECIES
Na 22.99 Na.upf
Be 9.01 Be.upf
La 138.91 La.upf
CELL_PARAMETERS angstrom
-3.3908 -2.6497 -3.0554
3.4639 -3.9609 -0.4092
-2.0876 -2.2682 4.2838
ATOMIC_POSITIONS angstrom
Na 1.7319 -1.9804 -0.2046
Na -1.0438 -1.1341 2.1419
Na -1.6954 -1.3249 -1.5277
Be 0.0000 0.0000 0.0000
La -1.0073 -4.4394 0.4097
! Formation enthalpy at 0 K   0.662 eV per atom
! D(E_F)   0.818 states/eV per atom

***

> What is the formula in the third record?

Na3LaBe